VASP calculation (PBE) on crystalline CaMoW at its relaxed geometry.

Properties
raw total energy	-7.346	eV per atom
DOS at the Fermi energy	3.1	states/eV/cell
crystal system	cubic
polymorph energy (0 for the lowest one)	0.702	eV/atom
volume	21.7	Å³/atom
ΔE_f	1.2491	eV per atom

Cell lengths 4.5172, 4.5172, 4.5172 Å; angles 60.00, 60.00, 60.00 degrees
Fractional coordinates of all 3 atoms:
Ca 0.0000 0.0000 0.0000
Mo 0.2500 0.2500 0.2500
W 0.5000 0.5000 0.5000